1.
The following is a DFT calculation (PBEsol) of MoCl2O after structural relaxation.

Unit cell a=3.126 b=3.740 c=7.033 alpha=105.42 beta=102.84 gamma=90.00
Fractional positions:
1 Mo 0.000 0.000 0.000
2 O 0.000 0.500 0.000
3 Cl 0.360 0.860 0.721
4 Cl 0.640 0.140 0.279

As for the space group: Immm (71). The volume comes out at 19.3 A^3/atom. The value obtained for the total energy is -6.56 eV per atom.

***

2.
The following is a DFT calculation (PBEsol) of MoClO2 after structural relaxation.

Unit cell a=5.892 b=5.892 c=5.892 alpha=60.00 beta=60.00 gamma=60.00
Fractional positions:
1 Mo 0.750 0.750 0.750
2 Mo 0.500 0.500 0.500
3 O 0.625 0.625 0.625
4 O 0.625 0.625 0.125
5 O 0.625 0.125 0.625
6 O 0.125 0.625 0.625
7 Cl 0.250 0.250 0.250
8 Cl 0.000 0.000 0.000

As for the space group: Fd-3m (227). The volume comes out at 18.1 A^3/atom. The value obtained for the total energy is -7.35 eV per atom.

***

3.
The following is a DFT calculation (PBEsol) of MoCl3O after structural relaxation.

Unit cell a=6.028 b=5.945 c=13.832 alpha=90.00 beta=90.00 gamma=92.18
Last column: magnetic moment on the atom in μB.
Fractional positions:
1 Mo 0.298 0.030 0.337  0.82
2 Mo 0.202 0.970 0.837  0.82
3 Mo 0.702 0.970 0.663  0.82
4 Mo 0.798 0.030 0.163  0.82
5 Cl 0.637 0.291 0.070  0.08
6 Cl 0.863 0.709 0.570  0.08
7 Cl 0.363 0.709 0.930  0.08
8 Cl 0.137 0.291 0.430  0.08
9 Cl 0.606 0.272 0.313  0.02
10 Cl 0.894 0.728 0.813  0.02
11 Cl 0.394 0.728 0.687  0.02
12 Cl 0.106 0.272 0.187  0.02
13 Cl 0.438 0.837 0.193  0.01
14 Cl 0.062 0.163 0.693  0.01
15 Cl 0.562 0.163 0.807  0.01
16 Cl 0.938 0.837 0.307  0.01
17 O 0.381 0.845 0.416  -0.05
18 O 0.119 0.155 0.916  -0.05
19 O 0.619 0.155 0.584  -0.05
20 O 0.881 0.845 0.084  -0.05

As for the space group: P2_1/c (14). The volume comes out at 24.8 A^3/atom. The value obtained for the total energy is -5.75 eV per atom.

***

4.
The following is a DFT calculation (PBEsol) of MoP2ClO after structural relaxation.

Unit cell a=4.683 b=4.606 c=4.606 alpha=90.00 beta=90.00 gamma=90.00
Last column: magnetic moment on the atom in μB.
Fractional positions:
1 P 0.000 0.000 0.500  -0.01
2 P 0.000 0.500 0.000  -0.01
3 Mo 0.000 0.000 0.000  0.03
4 O 0.500 0.500 0.500  1.04
5 Cl 0.500 0.000 0.000  0.04

As for the space group: P4/mmm (123). The volume comes out at 19.9 A^3/atom. The value obtained for the total energy is -5.39 eV per atom.

***

5.
The following is a DFT calculation (PBEsol) of RbMoPClO5 after structural relaxation.

Unit cell a=6.466 b=6.466 c=7.474 alpha=90.00 beta=90.00 gamma=90.00
Last column: magnetic moment on the atom in μB.
Fractional positions:
1 Rb 0.000 0.000 0.500  0.00
2 Rb 0.500 0.500 0.500  0.00
3 Mo 0.500 0.000 0.092  0.82
4 Mo 0.000 0.500 0.908  0.82
5 P 0.500 0.500 0.000  0.01
6 P 0.000 0.000 0.000  0.01
7 Cl 0.000 0.500 0.563  0.00
8 Cl 0.500 0.000 0.437  0.00
9 O 0.189 0.000 0.126  0.03
10 O 0.500 0.311 0.126  0.03
11 O 0.500 0.000 0.870  -0.06
12 O 0.811 0.000 0.126  0.03
13 O 0.311 0.500 0.874  0.03
14 O 0.689 0.500 0.874  0.03
15 O 0.000 0.189 0.874  0.03
16 O 0.500 0.689 0.126  0.03
17 O 0.000 0.500 0.130  -0.06
18 O 0.000 0.811 0.874  0.03

As for the space group: P4/nmm (129). The volume comes out at 17.4 A^3/atom. The value obtained for the total energy is -7.25 eV per atom.

***

6.
The following is a DFT calculation (PBEsol) of TbMoClO4 after structural relaxation.

Unit cell a=6.249 b=6.249 c=6.792 alpha=75.96 beta=75.96 gamma=70.82
Fractional positions:
1 Tb 0.778 0.778 0.109
2 Tb 0.222 0.222 0.891
3 Mo 0.638 0.638 0.732
4 Mo 0.362 0.362 0.268
5 Cl 0.992 0.992 0.763
6 Cl 0.008 0.008 0.237
7 O 0.706 0.706 0.465
8 O 0.489 0.110 0.153
9 O 0.294 0.294 0.535
10 O 0.541 0.541 0.201
11 O 0.890 0.511 0.847
12 O 0.110 0.489 0.153
13 O 0.511 0.890 0.847
14 O 0.459 0.459 0.799

As for the space group: C2/m (12). The volume comes out at 17.1 A^3/atom. The value obtained for the total energy is -8.21 eV per atom.

***

7.
The following is a DFT calculation (PBEsol) of TlMo2Cl7O2 after structural relaxation.

Unit cell a=6.928 b=9.190 c=9.919 alpha=103.80 beta=90.95 gamma=108.24
Last column: magnetic moment on the atom in μB.
Fractional positions:
1 Tl 0.233 0.760 0.937  0.01
2 Tl 0.767 0.240 0.063  0.01
3 Mo 0.779 0.853 0.206  0.82
4 Mo 0.635 0.377 0.598  0.81
5 Mo 0.365 0.623 0.402  0.81
6 Mo 0.221 0.147 0.794  0.82
7 Cl 0.904 0.609 0.659  0.06
8 Cl 0.421 0.593 0.162  0.01
9 Cl 0.751 0.842 0.970  0.03
10 Cl 0.249 0.158 0.030  0.03
11 Cl 0.579 0.407 0.838  0.01
12 Cl 0.096 0.391 0.341  0.06
13 Cl 0.715 0.801 0.437  0.01
14 Cl 0.412 0.597 0.630  0.04
15 Cl 0.083 0.355 0.849  0.04
16 Cl 0.285 0.199 0.563  0.01
17 Cl 0.534 0.983 0.230  0.03
18 Cl 0.917 0.645 0.151  0.04
19 Cl 0.588 0.403 0.370  0.04
20 Cl 0.466 0.017 0.770  0.03
21 O 0.250 0.757 0.432  -0.05
22 O 0.011 0.996 0.732  -0.05
23 O 0.750 0.243 0.568  -0.05
24 O 0.989 0.004 0.268  -0.05

As for the space group: P-1 (2). The value obtained for the energy above the most stable polymorph in this dataset is 4 meV per atom. The volume comes out at 24.2 A^3/atom. The value obtained for the total energy is -5.36 eV per atom.

***

8.
The following is a DFT calculation (PBEsol) of TlMo2Cl7O2 after structural relaxation.

Unit cell a=6.832 b=9.523 c=9.424 alpha=90.00 beta=90.00 gamma=90.00
Last column: magnetic moment on the atom in μB.
Fractional positions:
1 Tl 0.500 0.466 0.000  0.03
2 Tl 0.000 0.534 0.500  0.03
3 Mo 0.000 0.199 0.183  0.81
4 Mo 0.500 0.801 0.317  0.81
5 Mo 0.500 0.801 0.683  0.81
6 Mo 0.000 0.199 0.817  0.81
7 Cl 0.261 0.872 0.500  0.01
8 Cl 0.500 0.588 0.500  0.00
9 Cl 0.241 0.319 0.697  0.04
10 Cl 0.741 0.681 0.803  0.04
11 Cl 0.759 0.319 0.697  0.04
12 Cl 0.739 0.872 0.500  0.01
13 Cl 0.741 0.681 0.197  0.04
14 Cl 0.000 0.412 0.000  0.00
15 Cl 0.759 0.319 0.303  0.04
16 Cl 0.241 0.319 0.303  0.04
17 Cl 0.761 0.128 0.000  0.01
18 Cl 0.259 0.681 0.197  0.04
19 Cl 0.259 0.681 0.803  0.04
20 Cl 0.239 0.128 0.000  0.01
21 O 0.500 0.956 0.238  -0.05
22 O 0.000 0.044 0.262  -0.05
23 O 0.500 0.956 0.762  -0.05
24 O 0.000 0.044 0.738  -0.05

As for the space group: Pmmn (59). The value obtained for the energy above the most stable polymorph in this dataset is 0 meV per atom. The volume comes out at 25.5 A^3/atom. The value obtained for the total energy is -5.36 eV per atom.

***

9.
The following is a DFT calculation (PBEsol) of TmMoClO4 after structural relaxation.

Unit cell a=6.166 b=6.166 c=6.719 alpha=75.66 beta=75.66 gamma=70.58
Fractional positions:
1 Tm 0.222 0.222 0.892
2 Tm 0.778 0.778 0.108
3 Mo 0.638 0.638 0.732
4 Mo 0.362 0.362 0.268
5 Cl 0.008 0.008 0.236
6 Cl 0.992 0.992 0.764
7 O 0.295 0.295 0.538
8 O 0.705 0.705 0.462
9 O 0.105 0.490 0.154
10 O 0.544 0.544 0.197
11 O 0.510 0.895 0.846
12 O 0.490 0.105 0.154
13 O 0.456 0.456 0.803
14 O 0.895 0.510 0.846

As for the space group: C2/m (12). The volume comes out at 16.4 A^3/atom. The value obtained for the total energy is -8.20 eV per atom.

***

10.
The following is a DFT calculation (PBEsol) of MoOsCl2 after structural relaxation.

Unit cell a=2.775 b=2.866 c=10.396 alpha=90.00 beta=90.00 gamma=118.95
Last column: magnetic moment on the atom in μB.
Fractional positions:
1 Mo 0.500 0.000 0.500  -0.11
2 Os 0.500 0.000 0.000  1.02
3 Cl 0.000 0.000 0.688  0.00
4 Cl 0.000 0.000 0.312  0.00

As for the space group: Cmmm (65). The value obtained for the energy above the most stable polymorph in this dataset is 56 meV per atom. The volume comes out at 18.1 A^3/atom. The value obtained for the total energy is -6.13 eV per atom.

***

11.
The following is a DFT calculation (PBEsol) of MoOsCl2 after structural relaxation.

Unit cell a=4.283 b=4.283 c=4.283 alpha=109.48 beta=109.48 gamma=109.45
Fractional positions:
1 Mo 0.500 0.500 0.000
2 Os 0.250 0.750 0.500
3 Cl 0.000 0.000 0.000
4 Cl 0.750 0.250 0.500

As for the space group: I-4m2 (119). The value obtained for the energy above the most stable polymorph in this dataset is 0 meV per atom. The volume comes out at 15.1 A^3/atom. The value obtained for the total energy is -6.19 eV per atom.

***

12.
The following is a DFT calculation (PBEsol) of MoOsCl2 after structural relaxation.

Unit cell a=3.017 b=4.306 c=4.306 alpha=90.00 beta=90.00 gamma=90.00
Fractional positions:
1 Mo 0.500 0.500 0.500
2 Os 0.500 0.000 0.000
3 Cl 0.000 0.000 0.500
4 Cl 0.000 0.500 0.000

As for the space group: P4/mmm (123). The value obtained for the energy above the most stable polymorph in this dataset is 400 meV per atom. The volume comes out at 14.0 A^3/atom. The value obtained for the total energy is -5.79 eV per atom.

***

13.
The following is a DFT calculation (PBEsol) of Mo2OsCl after structural relaxation.

Unit cell a=2.837 b=4.890 c=4.890 alpha=114.91 beta=98.78 gamma=98.78
Fractional positions:
1 Mo 0.000 0.500 0.000
2 Mo 0.000 0.000 0.500
3 Os 0.500 0.000 0.000
4 Cl 0.500 0.500 0.500

As for the space group: C2/m (12). The value obtained for the energy above the most stable polymorph in this dataset is 0 meV per atom. The volume comes out at 14.8 A^3/atom. The value obtained for the total energy is -8.68 eV per atom.

***

14.
The following is a DFT calculation (PBEsol) of MoOsCl2 after structural relaxation.

Unit cell a=2.963 b=4.223 c=4.884 alpha=90.00 beta=93.44 gamma=90.00
Fractional positions:
1 Mo 0.500 0.500 0.500
2 Os 0.000 0.500 0.000
3 Cl 0.745 0.000 0.750
4 Cl 0.255 0.000 0.250

As for the space group: P2/m (10). The value obtained for the energy above the most stable polymorph in this dataset is 37 meV per atom. The volume comes out at 15.2 A^3/atom. The value obtained for the total energy is -6.15 eV per atom.

***

15.
The following is a DFT calculation (PBEsol) of Mo2OsCl after structural relaxation.

Unit cell a=3.665 b=3.665 c=5.157 alpha=110.82 beta=110.82 gamma=90.00
Fractional positions:
1 Mo 0.000 0.000 0.000
2 Mo 0.750 0.250 0.500
3 Os 0.500 0.500 0.000
4 Cl 0.250 0.750 0.500

As for the space group: I-4m2 (119). The value obtained for the energy above the most stable polymorph in this dataset is 272 meV per atom. The volume comes out at 15.0 A^3/atom. The value obtained for the total energy is -8.41 eV per atom.

***

16.
The following is a DFT calculation (PBEsol) of MoOsCl after structural relaxation.

Unit cell a=4.172 b=4.172 c=4.172 alpha=60.00 beta=60.00 gamma=60.00
Fractional positions:
1 Mo 0.750 0.750 0.750
2 Os 0.000 0.000 0.000
3 Cl 0.500 0.500 0.500

As for the space group: F-43m (216). The value obtained for the energy above the most stable polymorph in this dataset is 0 meV per atom. The volume comes out at 17.1 A^3/atom. The value obtained for the total energy is -7.71 eV per atom.

***

17.
The following is a DFT calculation (PBEsol) of Mo2OsCl after structural relaxation.

Unit cell a=4.389 b=4.389 c=4.389 alpha=60.00 beta=60.00 gamma=60.00
Fractional positions:
1 Mo 0.000 0.000 0.000
2 Mo 0.750 0.750 0.750
3 Os 0.250 0.250 0.250
4 Cl 0.500 0.500 0.500

As for the space group: F-43m (216). The value obtained for the energy above the most stable polymorph in this dataset is 252 meV per atom. The volume comes out at 15.0 A^3/atom. The value obtained for the total energy is -8.43 eV per atom.

***

18.
The following is a DFT calculation (PBEsol) of Sc2MoOsCl after structural relaxation.

Unit cell a=4.287 b=5.003 c=5.003 alpha=90.00 beta=90.00 gamma=90.00
Last column: magnetic moment on the atom in μB.
Fractional positions:
1 Sc 0.000 0.000 0.500  -0.09
2 Sc 0.000 0.500 0.000  -0.09
3 Mo 0.000 0.000 0.000  0.13
4 Os 0.500 0.500 0.500  1.38
5 Cl 0.500 0.000 0.000  0.03

As for the space group: P4/mmm (123). The volume comes out at 21.5 A^3/atom. The value obtained for the total energy is -6.70 eV per atom.

***

19.
The following is a DFT calculation (PBEsol) of MoP2Cl after structural relaxation.

Unit cell a=3.925 b=3.925 c=4.639 alpha=115.03 beta=115.03 gamma=90.00
Fractional positions:
1 Cl 0.500 0.500 0.000
2 Mo 0.000 0.000 0.000
3 P 0.750 0.250 0.500
4 P 0.250 0.750 0.500

As for the space group: I4/mmm (139). The value obtained for the energy above the most stable polymorph in this dataset is 611 meV per atom. The volume comes out at 14.3 A^3/atom. The value obtained for the total energy is -5.92 eV per atom.

***

20.
The following is a DFT calculation (PBEsol) of MoP2Cl after structural relaxation.

Unit cell a=4.369 b=4.369 c=4.369 alpha=60.00 beta=60.00 gamma=60.00
Last column: magnetic moment on the atom in μB.
Fractional positions:
1 Cl 0.000 0.000 0.000  0.00
2 Mo 0.500 0.500 0.500  0.35
3 P 0.250 0.250 0.250  0.00
4 P 0.750 0.750 0.750  0.00

As for the space group: Fm-3m (225). The value obtained for the energy above the most stable polymorph in this dataset is 881 meV per atom. The volume comes out at 14.7 A^3/atom. The value obtained for the total energy is -5.65 eV per atom.